A plane-wave DFT calculation with PBE-GGA was carried out for an optimized crystal structure of BaSb2Se4.

a = 8.2737 Å, b = 8.2735 Å, c = 8.2201 Å
α = 106.37°, β = 106.36°, γ = 111.35°
With the nearest neighbours (Å) after each atom.
Positions (direct):
Ba 0.2634 0.7690 0.5019  8 Se 3.28-3.61
Ba 0.0190 0.0133 0.0019  8 Se 3.28-3.61
Sb 0.6332 0.3641 0.7719  4 Se 2.67-2.96
Sb 0.6141 0.3833 0.2720  4 Se 2.67-2.96
Sb 0.0485 0.3270 0.6456  3 Se 2.62-2.66
Sb 0.5770 0.7986 0.1456  3 Se 2.62-2.66
Se 0.9102 0.2778 0.2910  2 Sb 2.66-2.86
Se 0.3196 0.5104 0.1607  1 Sb 2.62
Se 0.7604 0.0695 0.6607  1 Sb 2.62
Se 0.3675 0.1617 0.4157  2 Sb 2.67-2.96
Se 0.9479 0.5996 0.7132  2 Sb 2.65-2.89
Se 0.5278 0.6602 0.7909  2 Sb 2.66-2.86
Se 0.8496 0.6980 0.2132  2 Sb 2.65-2.89
Se 0.4117 0.1175 0.9157  2 Sb 2.67-2.96

Computed properties:
Space-group type = Cc (9)
Distance to the lowest polymorph of the same formula = 64 meV per atom
Crystal system = monoclinic



A plane-wave DFT calculation with PBE-GGA was carried out for an optimized crystal structure of Ca6Pb2O.

a = 7.0494 Å, b = 7.0494 Å, c = 7.0494 Å
α = 60.00°, β = 60.00°, γ = 60.00°
With the nearest neighbours (Å) after each atom.
Positions (direct):
Ca 0.2441 0.7559 0.7559  1 O 2.43
Ca 0.2441 0.7559 0.2441  1 O 2.43
Ca 0.7559 0.2441 0.7559  1 O 2.43
Ca 0.7559 0.2441 0.2441  1 O 2.43
Ca 0.7559 0.7559 0.2441  1 O 2.43
Ca 0.2441 0.2441 0.7559  1 O 2.43
Pb 0.2500 0.2500 0.2500  12 Ca 3.53
Pb 0.7500 0.7500 0.7500  12 Ca 3.53
O 0.0000 0.0000 0.0000  6 Ca 2.43

Computed properties:
Space-group type = Fm-3m (225)
Raw total energy = -33.64 eV/cell
Crystal system = cubic



A plane-wave DFT calculation with PBE-GGA was carried out for an optimized crystal structure of YBiPt.

a = 3.2060 Å, b = 3.2060 Å, c = 8.4019 Å
α = 101.00°, β = 101.00°, γ = 90.00°
With the nearest neighbours (Å) after each atom.
Positions (direct):
Y 0.7832 0.7832 0.5663  1 Pt 2.57
Bi 0.1246 0.1246 0.2492  1 Pt 2.95, 4 Bi 3.21
Pt 0.9422 0.9422 0.8845  1 Y 2.57

Computed properties:
Space-group type = I4mm (107)
Formation energy from the elements = 16.6 kJ/mol of atoms
Crystal system = tetragonal



A plane-wave DFT calculation with PBE-GGA was carried out for an optimized crystal structure of ZnBPb3.

a = 5.0962 Å, b = 5.0962 Å, c = 5.0962 Å
α = 90.00°, β = 90.00°, γ = 90.00°
With the nearest neighbours (Å) after each atom.
Positions (direct):
Pb 0.0000 0.5000 0.0000  2 B 2.55
Pb 0.0000 0.0000 0.5000  2 B 2.55
Pb 0.5000 0.0000 0.0000  2 B 2.55
Zn 0.5000 0.5000 0.5000  12 Pb 3.60
B 0.0000 0.0000 0.0000  6 Pb 2.55

Computed properties:
Space-group type = Pm-3m (221)
Formation energy from the elements = 69.4 kJ/mol of atoms
Distance to the lowest polymorph of the same formula = 0 meV per atom
Crystal system = cubic



A plane-wave DFT calculation with PBE-GGA was carried out for an optimized crystal structure of Zr2ScSnH.

a = 4.4242 Å, b = 4.4242 Å, c = 4.5842 Å
α = 90.00°, β = 90.00°, γ = 90.00°
With the nearest neighbours (Å) after each atom.
Positions (direct):
Sc 0.0000 0.0000 0.5000  2 H 2.29
H 0.0000 0.0000 0.0000  4 Zr 2.21, 2 Sc 2.29
Sn 0.5000 0.5000 0.5000  4 Sc 3.13, 8 Zr 3.19
Zr 0.0000 0.5000 0.0000  2 H 2.21
Zr 0.5000 0.0000 0.0000  2 H 2.21

Computed properties:
Space-group type = P4/mmm (123)
Raw total energy = -33.26 eV/cell
Crystal system = tetragonal



A plane-wave DFT calculation with PBE-GGA was carried out for an optimized crystal structure of PrNd3Sm6Dy2.

a = 6.2950 Å, b = 6.2950 Å, c = 12.0625 Å
α = 95.00°, β = 95.00°, γ = 119.98°
With the nearest neighbours (Å) after each atom.
Positions (direct):
Pr 0.0000 0.0000 0.0000  6 Sm 3.62, 6 Dy 3.63-3.64
Nd 0.1670 0.8330 0.5000  6 Nd 3.63-3.64, 6 Sm 3.65-3.66
Nd 0.8330 0.1670 0.5000  6 Nd 3.63-3.64, 6 Sm 3.65-3.66
Nd 0.5000 0.5000 0.5000  6 Nd 3.63-3.64, 6 Sm 3.65-3.66
Sm 0.9171 0.5827 0.7521  2 Dy 3.61, 1 Pr 3.62, 6 Sm 3.63-3.65, 3 Nd 3.65-3.66
Sm 0.7486 0.7486 0.2479  2 Dy 3.61, 1 Pr 3.62, 6 Sm 3.63-3.65, 3 Nd 3.65-3.66
Sm 0.0829 0.4173 0.2479  2 Dy 3.61, 1 Pr 3.62, 6 Sm 3.63-3.65, 3 Nd 3.65-3.66
Sm 0.5827 0.9171 0.7521  2 Dy 3.61, 1 Pr 3.62, 6 Sm 3.63-3.65, 3 Nd 3.65-3.66
Sm 0.2514 0.2514 0.7521  2 Dy 3.61, 1 Pr 3.62, 6 Sm 3.63-3.65, 3 Nd 3.65-3.66
Sm 0.4173 0.0829 0.2479  2 Dy 3.61, 1 Pr 3.62, 6 Sm 3.63-3.65, 3 Nd 3.65-3.66
Dy 0.3334 0.6666 0.0000  6 Sm 3.61, 3 Dy 3.63-3.64, 3 Pr 3.63-3.64
Dy 0.6666 0.3334 0.0000  6 Sm 3.61, 3 Dy 3.63-3.64, 3 Pr 3.63-3.64

Computed properties:
Space-group type = C2/m (12)
Formation energy from the elements = 1.4 kJ/mol of atoms
Crystal system = monoclinic



A plane-wave DFT calculation with PBE-GGA was carried out for an optimized crystal structure of Sr2Ga2SnRh5.

a = 3.3361 Å, b = 10.5003 Å, c = 10.5003 Å
α = 90.00°, β = 90.00°, γ = 90.00°
With the nearest neighbours (Å) after each atom.
Positions (direct):
Sr 0.0000 0.6747 0.1747  3 Ga 2.98-3.19, 10 Rh 3.08-3.26
Sr 0.0000 0.3253 0.8253  3 Ga 2.98-3.19, 10 Rh 3.08-3.26
Sr 0.0000 0.1747 0.3253  3 Ga 2.98-3.19, 10 Rh 3.08-3.26
Sr 0.0000 0.8253 0.6747  3 Ga 2.98-3.19, 10 Rh 3.08-3.26
Ga 0.0000 0.1248 0.6248  6 Rh 2.49-2.53
Ga 0.0000 0.8752 0.3752  6 Rh 2.49-2.53
Ga 0.0000 0.6248 0.8752  6 Rh 2.49-2.53
Ga 0.0000 0.3752 0.1248  6 Rh 2.49-2.53
Sn 0.0000 0.0000 0.0000  8 Rh 2.80
Sn 0.0000 0.5000 0.5000  8 Rh 2.80
Rh 0.5000 0.2044 0.0632  2 Ga 2.53, 2 Sn 2.80
Rh 0.5000 0.7956 0.9368  2 Ga 2.53, 2 Sn 2.80
Rh 0.5000 0.0632 0.7956  2 Ga 2.53, 2 Sn 2.80
Rh 0.5000 0.7044 0.4368  2 Ga 2.53, 2 Sn 2.80
Rh 0.5000 0.9368 0.2044  2 Ga 2.53, 2 Sn 2.80
Rh 0.5000 0.2956 0.5632  2 Ga 2.53, 2 Sn 2.80
Rh 0.5000 0.5632 0.7044  2 Ga 2.53, 2 Sn 2.80
Rh 0.5000 0.4368 0.2956  2 Ga 2.53, 2 Sn 2.80
Rh 0.5000 0.5000 0.0000  4 Ga 2.49
Rh 0.5000 0.0000 0.5000  4 Ga 2.49

Computed properties:
Space-group type = P4/mbm (127)
Formation energy from the elements = -50.8 kJ/mol of atoms
Crystal system = tetragonal



A plane-wave DFT calculation with PBE-GGA was carried out for an optimized crystal structure of HoMnAl.

a = 5.4104 Å, b = 5.4104 Å, c = 5.4104 Å
α = 119.55°, β = 118.98°, γ = 91.28°
With the nearest neighbours (Å) after each atom.
Positions (direct):
Ho 0.1306 0.8806 0.2500  6 Mn 3.11-3.22, 6 Al 3.18-3.19, 4 Ho 3.29-3.36
Ho 0.8694 0.1194 0.7500  6 Mn 3.11-3.22, 6 Al 3.18-3.19, 4 Ho 3.29-3.36
Mn 0.5000 0.0000 0.0000  4 Al 2.71, 2 Mn 2.72
Mn 0.5000 0.5000 0.5000  4 Al 2.71, 2 Mn 2.72
Al 0.0000 0.5000 0.5000  4 Mn 2.71, 2 Al 2.75
Al 0.5000 0.5000 0.0000  4 Mn 2.71, 2 Al 2.75

Computed properties:
Space-group type = Imma (74)
Formation energy from the elements = -23.2 kJ/mol of atoms
Crystal system = orthorhombic



A plane-wave DFT calculation with PBE-GGA was carried out for an optimized crystal structure of Pm5PrNd2Th.

a = 5.7791 Å, b = 10.6745 Å, c = 10.6361 Å
α = 90.00°, β = 90.00°, γ = 105.71°
With the nearest neighbours (Å) after each atom.
Positions (direct):
Pm 0.3880 0.7760 0.0253  6 Pm 3.56-3.91, 4 Nd 3.62, 1 Th 3.87
Pm 0.7241 0.4482 0.8170  1 Pr 3.11, 1 Nd 3.29, 2 Pm 3.45
Pm 0.4788 0.9575 0.7398  2 Pr 3.18-3.39
Pm 0.2954 0.5907 0.7058  3 Pm 3.45-3.79, 3 Th 3.54-3.82, 1 Pr 3.61, 3 Nd 3.63-3.69
Pm 0.9839 0.9678 0.5230  2 Pr 3.35, 3 Nd 3.46-3.74, 2 Pm 3.70
Pm 0.6120 0.2240 0.5253  6 Pm 3.56-3.91, 4 Nd 3.62, 1 Th 3.87
Pm 0.2759 0.5518 0.3170  1 Pr 3.11, 1 Nd 3.29, 2 Pm 3.45
Pm 0.5212 0.0425 0.2398  2 Pr 3.18-3.39
Pm 0.7046 0.4093 0.2058  3 Pm 3.45-3.79, 3 Th 3.54-3.82, 1 Pr 3.61, 3 Nd 3.63-3.69
Pm 0.0161 0.0322 0.0230  2 Pr 3.35, 3 Nd 3.46-3.74, 2 Pm 3.70
Pr 0.5893 0.1785 0.9492  5 Pm 3.11-3.39
Pr 0.4107 0.8215 0.4492  5 Pm 3.11-3.39
Nd 0.8840 0.7680 0.8208  8 Pm 3.29-3.63
Nd 0.1163 0.2326 0.7297  1 Th 3.47, 7 Pm 3.50-3.76, 2 Pr 3.76
Nd 0.1160 0.2320 0.3208  8 Pm 3.29-3.63
Nd 0.8837 0.7674 0.2297  1 Th 3.47, 7 Pm 3.50-3.76, 2 Pr 3.76
Th 0.8001 0.6001 0.5135  2 Nd 3.47-3.70, 8 Pm 3.54-3.87, 2 Pr 3.74
Th 0.1999 0.3999 0.0135  2 Nd 3.47-3.70, 8 Pm 3.54-3.87, 2 Pr 3.74

Computed properties:
Space-group type = Cmc2_1 (36)
Formation energy from the elements = 14.8 kJ/mol of atoms
Crystal system = orthorhombic



A plane-wave DFT calculation with PBE-GGA was carried out for an optimized crystal structure of SiB3C.

a = 5.3336 Å, b = 2.7620 Å, c = 5.5667 Å
α = 90.00°, β = 96.86°, γ = 90.00°
With the nearest neighbours (Å) after each atom.
Positions (direct):
Si 0.1961 0.0000 0.5547  3 C 1.92-2.01, 1 B 2.01
Si 0.1961 0.5000 0.0547  3 C 1.92-2.01, 1 B 2.01
B 0.8280 0.0000 0.6015  4 B 1.72-1.77
B 0.8280 0.5000 0.1015  4 B 1.72-1.77
B 0.5512 0.0000 0.3980  2 C 1.67, 2 B 1.75
B 0.5512 0.5000 0.8980  2 C 1.67, 2 B 1.75
B 0.8442 0.0000 0.2863  4 B 1.72-1.77
B 0.8442 0.5000 0.7863  4 B 1.72-1.77
C 0.3747 0.0000 0.8758  2 B 1.67
C 0.3747 0.5000 0.3758  2 B 1.67

Computed properties:
Space-group type = Cm (8)
Distance to the lowest polymorph of the same formula = 164 meV per atom
Crystal system = monoclinic



A plane-wave DFT calculation with PBE-GGA was carried out for an optimized crystal structure of ZnP2W.

a = 6.1928 Å, b = 6.1928 Å, c = 3.4000 Å
α = 89.98°, β = 89.98°, γ = 29.80°
With the nearest neighbours (Å) after each atom.
Positions (direct):
P 0.0310 0.0310 0.1243  1 Zn 2.42, 4 W 2.55
P 0.7911 0.7911 0.6255  4 Zn 2.43, 2 W 2.43
W 0.4449 0.4449 0.6246  6 P 2.43-2.55
Zn 0.2330 0.2330 0.1256  5 P 2.42-2.43

Computed properties:
Space-group type = Amm2 (38)
Formation energy from the elements = -5.7 kJ/mol of atoms
Crystal system = orthorhombic



A plane-wave DFT calculation with PBE-GGA was carried out for an optimized crystal structure of LiZrCo2P.

a = 4.1479 Å, b = 4.2252 Å, c = 4.1479 Å
α = 90.00°, β = 90.00°, γ = 90.00°
With the nearest neighbours (Å) after each atom.
Positions (direct):
P 0.0000 0.0000 0.0000  4 Co 2.07, 2 Li 2.11
Co 0.0000 0.0000 0.5000  2 P 2.07
Co 0.5000 0.0000 0.0000  2 P 2.07
Zr 0.5000 0.5000 0.5000  4 Li 2.93, 8 Co 2.96
Li 0.0000 0.5000 0.0000  2 P 2.11

Computed properties:
Space-group type = P4/mmm (123)
Formation energy from the elements = -10.0 kJ/mol of atoms
Crystal system = tetragonal